1.
Here is an optimized crystal structure of TlHIrF2 from the Alexandria database. Energies are from PBE.

Cell lengths 4.4294, 3.4756, 4.4294 Å; angles 90.00, 90.00, 90.00 degrees
Fractional coordinates of all 5 atoms:
H 0.0000 0.0000 0.0000
Tl 0.0000 0.5000 0.0000
Ir 0.5000 0.5000 0.5000
F 0.0000 0.0000 0.5000
F 0.5000 0.0000 0.0000

Output
Mass density (g/cm3): 10.608
Raw total energy (Ry/atom): -0.2480



2.
Here is an optimized crystal structure of TlH2IrF from the Alexandria database. Energies are from PBE.

Cell lengths 3.6401, 5.5744, 3.6401 Å; angles 90.00, 90.00, 90.00 degrees
Fractional coordinates of all 5 atoms:
H 0.0000 0.0000 0.5000
H 0.5000 0.0000 0.0000
Tl 0.0000 0.0000 0.0000
Ir 0.0000 0.5000 0.0000
F 0.5000 0.5000 0.5000

Output
Mass density (g/cm3): 9.389
Raw total energy (Ry/atom): -0.2364



3.
Here is an optimized crystal structure of K3HF2 from the Alexandria database. Energies are from PBE.

Cell lengths 3.8771, 3.8774, 8.6758 Å; angles 102.91, 102.91, 90.00 degrees
Fractional coordinates of all 6 atoms:
K 0.9341 0.9358 0.8739
K 0.2654 0.2667 0.5363
K 0.6031 0.6044 0.2116
H 0.4341 0.4359 0.8740
F 0.1017 0.1030 0.2086
F 0.7670 0.7684 0.5393

Output
Mass density (g/cm3): 2.097
Raw total energy (Ry/atom): -0.2661



4.
Here is an optimized crystal structure of K3H2F8 from the Alexandria database. Energies are from PBE.

Cell lengths 5.2068, 5.2068, 8.3695 Å; angles 71.88, 71.88, 60.00 degrees
Fractional coordinates of all 13 atoms:
K 0.0000 0.0000 0.0000
K 0.7936 0.7936 0.6192
K 0.2064 0.2064 0.3808
H 0.6256 0.6256 0.1231
H 0.3744 0.3744 0.8769
F 0.6667 0.6667 0.9999
F 0.3333 0.3333 0.0001
F 0.2347 0.7328 0.2998
F 0.7328 0.2347 0.2998
F 0.7328 0.7328 0.2998
F 0.2672 0.7653 0.7002
F 0.7653 0.2672 0.7002
F 0.2672 0.2672 0.7002

Output
Mass density (g/cm3): 2.457
Raw total energy (Ry/atom): -0.2676



5.
Here is an optimized crystal structure of K5HF4 from the Alexandria database. Energies are from PBE.

Cell lengths 3.8574, 3.8574, 15.9215 Å; angles 83.04, 83.04, 60.00 degrees
Fractional coordinates of all 10 atoms:
K 0.3991 0.3991 0.8028
K 0.0000 0.0000 0.0000
K 0.6009 0.6009 0.1972
K 0.7982 0.7982 0.6055
K 0.2018 0.2018 0.3945
H 0.5000 0.5000 0.5000
F 0.9014 0.9014 0.2958
F 0.3005 0.3005 0.0986
F 0.6995 0.6995 0.9014
F 0.0986 0.0986 0.7042

Output
Mass density (g/cm3): 2.227
Raw total energy (Ry/atom): -0.2836



6.
Here is an optimized crystal structure of KHF3 from the Alexandria database. Energies are from PBE.

Cell lengths 7.0016, 6.5594, 6.5594 Å; angles 93.95, 83.28, 83.28 degrees
Fractional coordinates of all 20 atoms:
K 0.2500 0.9157 0.0843
K 0.7500 0.0843 0.9157
K 0.2500 0.4124 0.5876
K 0.7500 0.5876 0.4124
H 0.6960 0.6168 0.9541
H 0.8040 0.0459 0.3832
H 0.3040 0.3832 0.0459
H 0.1960 0.9541 0.6168
F 0.6125 0.7202 0.0624
F 0.8875 0.9376 0.2798
F 0.3875 0.2798 0.9376
F 0.1125 0.0624 0.7202
F 0.8134 0.4788 0.8216
F 0.6866 0.1784 0.5212
F 0.1866 0.5212 0.1784
F 0.3134 0.8216 0.4788
F 0.4528 0.7336 0.7109
F 0.0472 0.2891 0.2664
F 0.5472 0.2664 0.2891
F 0.9528 0.7109 0.7336

Output
Polymorph energy (0 for the lowest one) (meV/atom): 58
Mass density (g/cm3): 2.178
Raw total energy (Ry/atom): -0.2790



7.
Here is an optimized crystal structure of KH6F8 from the Alexandria database. Energies are from PBE.

Cell lengths 3.6036, 7.6240, 7.6240 Å; angles 120.00, 90.00, 90.00 degrees
Fractional coordinates of all 15 atoms:
K 0.5000 0.0000 0.0000
H 0.7979 0.3160 0.4781
H 0.7979 0.5219 0.8378
H 0.7979 0.1622 0.6840
H 0.2021 0.6840 0.5219
H 0.2021 0.4781 0.1622
H 0.2021 0.8378 0.3160
F 0.7836 0.6595 0.9638
F 0.7836 0.0362 0.6957
F 0.7836 0.3043 0.3405
F 0.2164 0.3405 0.0362
F 0.2164 0.9638 0.3043
F 0.2164 0.6957 0.6595
F 0.1926 0.6667 0.3333
F 0.8074 0.3333 0.6667

Output
Polymorph energy (0 for the lowest one) (meV/atom): 6
Mass density (g/cm3): 1.805
Raw total energy (Ry/atom): -0.2965



8.
Here is an optimized crystal structure of K2HF from the Alexandria database. Energies are from PBE.

Cell lengths 3.3174, 3.3174, 6.6519 Å; angles 90.00, 90.00, 90.00 degrees
Fractional coordinates of all 4 atoms:
H 0.5000 0.5000 0.5000
K 0.0000 0.0000 0.7565
K 0.0000 0.0000 0.2435
F 0.5000 0.5000 0.0000

Output
Polymorph energy (0 for the lowest one) (meV/atom): 93
Mass density (g/cm3): 2.228
Raw total energy (Ry/atom): -0.2376